(1)
A relaxed structure of KNaSn. Source: the Alexandria database, functional GGA-PBE.

a = 8.970 Å, b = 8.970 Å, c = 6.434 Å
α = 90.00°, β = 90.00°, γ = 90.00°
Sites, in units of the cell vectors:
1 Na 0.209 0.209 0.000
2 Sn 0.457 0.457 0.000
3 K 0.732 0.732 0.000
4 K 0.768 0.232 0.250
5 Sn 0.957 0.043 0.750
6 K 0.268 0.268 0.500
7 Na 0.791 0.791 0.500
8 Sn 0.043 0.957 0.250
9 Na 0.291 0.709 0.250
10 K 0.232 0.768 0.750
11 Sn 0.543 0.543 0.500
12 Na 0.709 0.291 0.750

## Properties
Polymorph energy (0 for the lowest one) in meV/atom: 142.8
Formation energy in meV per atom: -25.0
Final energy in eV per atom: -2.165

=====

(2)
A relaxed structure of KNaSn2. Source: the Alexandria database, functional GGA-PBE.

a = 5.571 Å, b = 5.571 Å, c = 5.571 Å
α = 60.00°, β = 60.00°, γ = 60.00°
Sites, in units of the cell vectors:
1 Na 0.000 0.000 0.000
2 Sn 0.750 0.750 0.750
3 K 0.500 0.500 0.500
4 Sn 0.250 0.250 0.250

## Properties
Polymorph energy (0 for the lowest one) in meV/atom: 186.6
Formation energy in meV per atom: 9.1
Final energy in eV per atom: -2.596

=====

(3)
A relaxed structure of KNa2Sn. Source: the Alexandria database, functional GGA-PBE.

a = 5.216 Å, b = 5.216 Å, c = 11.915 Å
α = 77.36°, β = 77.36°, γ = 90.00°
Sites, in units of the cell vectors:
1 Sn 0.000 0.000 0.000
2 Na 0.875 0.947 0.750
3 Na 0.375 0.303 0.750
4 K 0.250 0.750 0.500
5 Na 0.053 0.625 0.250
6 Na 0.697 0.125 0.250
7 Sn 0.750 0.250 0.500
8 K 0.500 0.500 0.000

## Properties
Formation energy in meV per atom: 50.1
Final energy in eV per atom: -1.885

=====

(4)
A relaxed structure of K2Na5Sn4. Source: the Alexandria database, functional GGA-PBE.

a = 6.948 Å, b = 8.309 Å, c = 9.469 Å
α = 64.08°, β = 68.47°, γ = 65.28°
Sites, in units of the cell vectors:
1 Na 0.623 0.326 0.919
2 K 0.747 0.128 0.378
3 Sn 0.777 0.689 0.756
4 Na 0.868 0.674 0.081
5 Sn 0.426 0.968 0.180
6 Sn 0.223 0.311 0.244
7 Na 0.132 0.326 0.919
8 Na 0.000 0.500 0.500
9 K 0.253 0.872 0.622
10 Na 0.377 0.674 0.081
11 Sn 0.574 0.032 0.820

## Properties
Formation energy in meV per atom: -118.9
Final energy in eV per atom: -2.374

=====

Question: Among the records above, which one has the highest final energy?
Answer: KNa2Sn

=====

Repeat the fourth record exactly.
A relaxed structure of K2Na5Sn4. Source: the Alexandria database, functional GGA-PBE.

a = 6.948 Å, b = 8.309 Å, c = 9.469 Å
α = 64.08°, β = 68.47°, γ = 65.28°
Sites, in units of the cell vectors:
1 Na 0.623 0.326 0.919
2 K 0.747 0.128 0.378
3 Sn 0.777 0.689 0.756
4 Na 0.868 0.674 0.081
5 Sn 0.426 0.968 0.180
6 Sn 0.223 0.311 0.244
7 Na 0.132 0.326 0.919
8 Na 0.000 0.500 0.500
9 K 0.253 0.872 0.622
10 Na 0.377 0.674 0.081
11 Sn 0.574 0.032 0.820

## Properties
Formation energy in meV per atom: -118.9
Final energy in eV per atom: -2.374

=====

Question: The lowest final energy belongs to which entry?
Answer: KNaSn2

=====

Question: Which value of formation energy does entry 2 give?
Answer: 9.1 meV per atom